A relaxed La3Zn8 crystal, computed with PBE-GGA.

Cell lengths 4.0783, 4.4734, 13.6358 Å; angles 99.44, 98.60, 90.00 degrees
Last column: nearest neighbours and their distance in Å.
Element x y z (fractional)
1 Zn 0.6940 0.1940 0.3881  5 Zn 2.56-2.66
2 Zn 0.4504 0.4504 0.9007  3 Zn 2.57-2.64
3 Zn 0.5496 0.5496 0.0993  3 Zn 2.57-2.64
4 Zn 0.2521 0.2521 0.5042  4 Zn 2.56-2.66
5 Zn 0.3060 0.8060 0.6119  5 Zn 2.56-2.66
6 Zn 0.7479 0.7479 0.4958  4 Zn 2.56-2.66
7 Zn 0.5974 0.0974 0.1947  3 Zn 2.57
8 Zn 0.4026 0.9026 0.8053  3 Zn 2.57
9 La 0.1505 0.6505 0.3010  14 Zn 3.24-3.51
10 La 0.0000 0.0000 0.0000  12 Zn 3.30
11 La 0.8495 0.3495 0.6990  14 Zn 3.24-3.51

VASP energy (hartree per atom): -0.09522
Energy relative to the elements (eV per atom): -0.3206

A relaxed La2Zn17 crystal, computed with PBE-GGA.

Cell lengths 6.8958, 6.8958, 6.8958 Å; angles 82.78, 82.78, 82.78 degrees
Last column: nearest neighbours and their distance in Å.
Element x y z (fractional)
1 Zn 0.9017 0.9017 0.9017  7 Zn 2.63-2.90
2 Zn 0.2910 0.7090 0.0000  8 Zn 2.61-2.80
3 Zn 0.0000 0.7090 0.2910  8 Zn 2.61-2.80
4 Zn 0.0000 0.5000 0.0000  10 Zn 2.61-2.79
5 Zn 0.7090 0.0000 0.2910  8 Zn 2.61-2.80
6 Zn 0.3497 0.8390 0.3497  9 Zn 2.60-2.90
7 Zn 0.8390 0.3497 0.3497  9 Zn 2.60-2.90
8 Zn 0.0000 0.2910 0.7090  8 Zn 2.61-2.80
9 Zn 0.1610 0.6503 0.6503  9 Zn 2.60-2.90
10 Zn 0.6503 0.1610 0.6503  9 Zn 2.60-2.90
11 Zn 0.0983 0.0983 0.0983  7 Zn 2.63-2.90
12 Zn 0.2910 0.0000 0.7090  8 Zn 2.61-2.80
13 Zn 0.6503 0.6503 0.1610  9 Zn 2.60-2.90
14 Zn 0.5000 0.0000 0.0000  10 Zn 2.61-2.79
15 Zn 0.3497 0.3497 0.8390  9 Zn 2.60-2.90
16 Zn 0.7090 0.2910 0.0000  8 Zn 2.61-2.80
17 Zn 0.0000 0.0000 0.5000  10 Zn 2.61-2.79
18 La 0.6638 0.6638 0.6638  19 Zn 3.18-3.49
19 La 0.3362 0.3362 0.3362  19 Zn 3.18-3.49

VASP energy (hartree per atom): -0.07060
Energy relative to the elements (eV per atom): -0.2626

A relaxed LaZn crystal, computed with PBE-GGA.

Cell lengths 6.0476, 6.0476, 6.3346 Å; angles 90.00, 90.00, 90.00 degrees
Last column: nearest neighbours and their distance in Å.
Element x y z (fractional)
1 La 0.6908 0.3092 0.5000  6 Zn 3.01-3.28, 1 La 3.26
2 La 0.3092 0.6908 0.5000  6 Zn 3.01-3.28, 1 La 3.26
3 La 0.1908 0.1908 0.0000  6 Zn 3.01-3.28, 1 La 3.26
4 La 0.8092 0.8092 0.0000  6 Zn 3.01-3.28, 1 La 3.26
5 Zn 0.6674 0.3326 0.0000  1 Zn 2.86, 4 La 3.01-3.17
6 Zn 0.1674 0.1674 0.5000  1 Zn 2.86, 4 La 3.01-3.17
7 Zn 0.3326 0.6674 0.0000  1 Zn 2.86, 4 La 3.01-3.17
8 Zn 0.8326 0.8326 0.5000  1 Zn 2.86, 4 La 3.01-3.17

VASP energy (hartree per atom): -0.11736
Energy relative to the elements (eV per atom): -0.0927

A relaxed La3Zn crystal, computed with PBE-GGA.

Cell lengths 4.9071, 4.9071, 10.6259 Å; angles 103.35, 103.35, 90.00 degrees
Last column: nearest neighbours and their distance in Å.
Element x y z (fractional)
1 La 0.5000 0.0000 0.0000  8 La 3.47-3.55, 4 Zn 3.52
2 La 0.0000 0.5000 0.0000  8 La 3.47-3.55, 4 Zn 3.52
3 La 0.8726 0.8726 0.7452  4 Zn 3.47, 8 La 3.48-3.55
4 La 0.1274 0.1274 0.2548  4 Zn 3.47, 8 La 3.48-3.55
5 La 0.7500 0.2500 0.5000  8 La 3.47-3.48, 4 Zn 3.50
6 La 0.2500 0.7500 0.5000  8 La 3.47-3.48, 4 Zn 3.50
7 Zn 0.6258 0.6258 0.2516  12 La 3.47-3.52
8 Zn 0.3742 0.3742 0.7484  12 La 3.47-3.52

VASP energy (hartree per atom): -0.15006
Energy relative to the elements (eV per atom): -0.0692

A relaxed La6Zn5 crystal, computed with PBE-GGA.

Cell lengths 5.2548, 7.5312, 9.1166 Å; angles 114.40, 106.75, 90.00 degrees
Last column: nearest neighbours and their distance in Å.
Element x y z (fractional)
1 Zn 0.6688 0.6688 0.3375  8 La 3.24-3.26, 2 Zn 3.62
2 Zn 0.3312 0.3312 0.6625  8 La 3.24-3.26, 2 Zn 3.62
3 Zn 0.0000 0.5000 0.0000  8 La 3.20-3.24
4 Zn 0.3264 0.8264 0.6528  8 La 3.20-3.32
5 Zn 0.6736 0.1736 0.3472  8 La 3.20-3.32
6 La 0.8368 0.0840 0.6736  7 Zn 3.20-3.25
7 La 0.1632 0.4105 0.3264  7 Zn 3.20-3.25
8 La 0.5000 0.2489 0.0000  6 Zn 3.24-3.32
9 La 0.1632 0.9160 0.3264  7 Zn 3.20-3.25
10 La 0.5000 0.7511 0.0000  6 Zn 3.24-3.32
11 La 0.8368 0.5895 0.6736  7 Zn 3.20-3.25

VASP energy (hartree per atom): -0.12889
Energy relative to the elements (eV per atom): -0.2405

A relaxed La2Zn crystal, computed with PBE-GGA.

Cell lengths 5.2004, 6.3349, 6.3349 Å; angles 99.70, 114.23, 65.77 degrees
Last column: nearest neighbours and their distance in Å.
Element x y z (fractional)
1 La 0.8457 0.8086 0.5000  4 Zn 3.35, 7 La 3.41-3.62
2 La 0.3457 0.5000 0.1914  4 Zn 3.35, 7 La 3.41-3.62
3 La 0.1543 0.1914 0.5000  4 Zn 3.35, 7 La 3.41-3.62
4 La 0.6543 0.5000 0.8086  4 Zn 3.35, 7 La 3.41-3.62
5 Zn 0.7500 0.0000 0.0000  2 Zn 2.60
6 Zn 0.2500 0.0000 0.0000  2 Zn 2.60

VASP energy (hartree per atom): -0.14208
Energy relative to the elements (eV per atom): -0.1566

A relaxed La3Zn crystal, computed with PBE-GGA.

Cell lengths 3.7213, 5.5487, 5.9240 Å; angles 90.00, 90.00, 90.00 degrees
Last column: nearest neighbours and their distance in Å.
Element x y z (fractional)
1 La 0.0000 0.0000 0.0082  6 La 3.20-3.44, 2 Zn 3.41
2 La 0.5000 0.5000 0.8671  4 Zn 3.38-3.62, 8 La 3.44-3.72
3 La 0.5000 0.0000 0.4486  2 La 3.20, 4 Zn 3.40
4 Zn 0.0000 0.5000 0.3428  10 La 3.38-3.62, 2 Zn 3.72

VASP energy (hartree per atom): -0.14984
Energy relative to the elements (eV per atom): -0.0632

A relaxed La3Zn22 crystal, computed with PBE-GGA.

Cell lengths 8.9775, 8.9775, 12.4597 Å; angles 111.12, 111.12, 90.00 degrees
Last column: nearest neighbours and their distance in Å.
Element x y z (fractional)
1 Zn 0.1679 0.1934 0.8725  9 Zn 2.58-2.81
2 Zn 0.8610 0.7103 0.7219  10 Zn 2.64-2.89
3 Zn 0.1250 0.3750 0.2500  10 Zn 2.64-2.66
4 Zn 0.9291 0.4546 0.3725  9 Zn 2.58-2.81
5 Zn 0.1250 0.8750 0.2500  10 Zn 2.64-2.66
6 Zn 0.2616 0.6110 0.2219  10 Zn 2.64-2.89
7 Zn 0.9774 0.2521 0.5041  9 Zn 2.58-2.86
8 Zn 0.2408 0.0943 0.4817  10 Zn 2.63-2.89
9 Zn 0.5454 0.5566 0.6275  9 Zn 2.58-2.81
10 Zn 0.6374 0.9908 0.9817  10 Zn 2.63-2.89
11 Zn 0.6126 0.7592 0.5183  10 Zn 2.63-2.89
12 Zn 0.8610 0.0116 0.7219  10 Zn 2.64-2.89
13 Zn 0.2726 0.4979 0.9959  9 Zn 2.58-2.86
14 Zn 0.7479 0.4732 0.4959  9 Zn 2.58-2.86
15 Zn 0.9057 0.7592 0.5183  10 Zn 2.63-2.89
16 Zn 0.7046 0.6791 0.8725  9 Zn 2.58-2.81
17 Zn 0.4434 0.9179 0.3725  9 Zn 2.58-2.81
18 Zn 0.1250 0.8750 0.7500  10 Zn 2.64-2.66
19 Zn 0.0092 0.3626 0.0183  10 Zn 2.63-2.89
20 Zn 0.0821 0.0709 0.6275  9 Zn 2.58-2.81
21 Zn 0.0821 0.5566 0.6275  9 Zn 2.58-2.81
22 Zn 0.4434 0.4546 0.3725  9 Zn 2.58-2.81
23 Zn 0.5021 0.7274 0.0041  9 Zn 2.58-2.86
24 Zn 0.7232 0.4979 0.9959  9 Zn 2.58-2.86
25 Zn 0.8066 0.8321 0.1275  9 Zn 2.58-2.81
26 Zn 0.7046 0.1934 0.8725  9 Zn 2.58-2.81
27 Zn 0.5454 0.0709 0.6275  9 Zn 2.58-2.81
28 Zn 0.3890 0.7384 0.7781  10 Zn 2.64-2.89
29 Zn 0.9603 0.6110 0.2219  10 Zn 2.64-2.89
30 Zn 0.1679 0.6791 0.8725  9 Zn 2.58-2.81
31 Zn 0.3209 0.8321 0.1275  9 Zn 2.58-2.81
32 Zn 0.9884 0.1390 0.2781  10 Zn 2.64-2.89
33 Zn 0.3209 0.2954 0.1275  9 Zn 2.58-2.81
34 Zn 0.2408 0.3874 0.4817  10 Zn 2.63-2.89
35 Zn 0.6250 0.8750 0.7500  10 Zn 2.64-2.66
36 Zn 0.0092 0.6557 0.0183  10 Zn 2.63-2.89
37 Zn 0.3890 0.0397 0.7781  10 Zn 2.64-2.89
38 Zn 0.8066 0.2954 0.1275  9 Zn 2.58-2.81
39 Zn 0.9291 0.9179 0.3725  9 Zn 2.58-2.81
40 Zn 0.2897 0.1390 0.2781  10 Zn 2.64-2.89
41 Zn 0.5021 0.2768 0.0041  9 Zn 2.58-2.86
42 Zn 0.5268 0.2521 0.5041  9 Zn 2.58-2.86
43 Zn 0.3443 0.9908 0.9817  10 Zn 2.63-2.89
44 Zn 0.7479 0.0226 0.4959  9 Zn 2.58-2.86
45 La 0.6217 0.6217 0.2434  16 Zn 3.14-3.48
46 La 0.2500 0.7500 0.5000  20 Zn 3.18-3.50
47 La 0.8717 0.3717 0.7434  16 Zn 3.14-3.48
48 La 0.6283 0.1283 0.2566  16 Zn 3.14-3.48
49 La 0.3783 0.3783 0.7566  16 Zn 3.14-3.48
50 La 0.0000 0.0000 0.0000  20 Zn 3.18-3.50

VASP energy (hartree per atom): -0.07310
Energy relative to the elements (eV per atom): -0.2767